Record 1
Np3Se3S2 (PBE, optimized geometry); space group = Immm; energy above the lowest structure with this stoichiometry = 172.3 meV per atom; ΔE_f (raw) = -1023.5 meV per atom
1.0
3.806 0.000 0.000
0.000 4.475 0.000
-1.903 -2.237 10.846
S Np Se
2 3 3
Cartesian
0.000 2.237 5.253
1.903 0.000 5.593
0.000 2.237 0.000
1.903 2.237 7.139
0.000 0.000 3.707
0.000 0.000 8.368
1.903 2.237 2.477
1.903 0.000 0.000

Record 2
SmEuCuS3 (PBE, optimized geometry); space group = Pnma; ΔE_f (raw) = -1663.6 meV per atom
1.0
3.946 0.000 0.000
0.000 10.502 0.000
0.000 0.000 12.812
Cu Eu S Sm
4 4 12 4
Cartesian
2.959 2.854 3.512
0.986 2.397 9.918
0.986 7.648 9.300
2.959 8.105 2.894
2.959 7.462 6.397
0.986 3.040 6.415
0.986 8.291 12.803
2.959 2.211 0.009
2.959 6.406 1.300
2.959 1.155 5.106
0.986 8.033 4.238
0.986 0.506 11.306
2.959 2.468 8.574
0.986 5.757 7.911
0.986 9.347 7.705
2.959 9.996 1.506
0.986 4.096 11.512
2.959 4.745 4.900
0.986 2.782 2.168
2.959 7.719 10.644
0.986 5.489 3.015
0.986 0.238 3.391
2.959 10.264 9.421
2.959 5.013 9.797

Record 3
NaAcCd4 (PBE, optimized geometry); space group = F-43m; E_form = -0.19 eV/atom; energy above the lowest structure with this stoichiometry = 6.3 meV per atom
1.0
6.132 0.000 0.000
3.066 5.311 0.000
3.066 1.770 5.007
Cd Ac Na
4 1 1
Cartesian
4.606 4.422 3.127
7.659 4.422 3.127
6.132 3.540 0.634
6.132 1.778 3.127
0.000 0.000 0.000
3.066 1.770 1.252

Record 4
HgBiMo2 (PBE, optimized geometry); space group = Fm-3m; E_form = 0.82 eV/atom; energy above the lowest structure with this stoichiometry = 0.0 meV per atom
1.0
0.000 3.364 3.364
3.364 0.000 3.364
3.364 3.364 0.000
Mo Hg Bi
2 1 1
Cartesian
1.682 1.682 1.682
5.045 5.045 5.045
0.000 0.000 0.000
3.364 3.364 3.364

Record 5
Sm2EuHg (PBE, optimized geometry); space group = Fm-3m; E_form = -0.07 eV/atom; energy above the lowest structure with this stoichiometry = 109.7 meV per atom
1.0
5.538 0.000 0.000
2.769 4.796 0.000
2.769 1.599 4.522
Hg Sm Eu
1 2 1
Cartesian
0.000 0.000 0.000
8.307 4.796 3.391
2.769 1.599 1.130
5.538 3.197 2.261

Record 6
MnAlCd2 (PBE, optimized geometry); space group = F-43m; E_form = 0.26 eV/atom
1.0
4.681 0.000 0.000
2.341 4.054 0.000
2.341 1.351 3.822
Cd Mn Al
2 1 1
Cartesian
2.341 1.351 0.956
0.000 0.000 0.000
7.022 4.054 2.867
4.681 2.703 1.911

Record 7
BaNiIr2 (PBE, optimized geometry); space group = R3m; E_form = 0.85 eV/atom
1.0
9.829 0.012 0.007
9.380 2.936 0.007
9.380 1.440 2.559
Ba Ir Ni
1 2 1
Cartesian
21.491 3.298 1.934
28.184 4.326 2.537
7.069 1.085 0.636
14.727 2.260 1.325

Record 8
KScTl3 (PBE, optimized geometry); space group = Pm-3m; E_form = 0.10 eV/atom; energy above the lowest structure with this stoichiometry = 0.0 meV per atom
1.0
5.731 0.000 0.000
0.000 5.731 0.000
0.000 0.000 5.731
Tl Sc K
3 1 1
Cartesian
0.000 2.866 0.000
2.866 0.000 0.000
0.000 0.000 2.866
0.000 0.000 0.000
2.866 2.866 2.866

no.,theoretical density (g/cm³)
1,9.10
2,5.78
3,7.12
4,13.12
5,9.03
6,7.02
7,13.14
8,6.15